VASP calculation (PBE+U) on K2BiPWO8 after structural relaxation.

abc: 7.147 12.601 20.084
angles: 90.00 90.00 90.00
Space group Ibca (No. 73)
Asymmetric unit:
K1 0.027 0.077 0.156 [16 per cell]
Bi1 0.250 0.170 0.500 [8 per cell]
P1 0.250 0.073 0.000 [8 per cell]
W1 0.000 0.250 0.332 [8 per cell]
O1 0.061 0.137 0.782 [16 per cell]
O2 0.082 0.151 0.010 [16 per cell]
O3 0.205 0.217 0.383 [16 per cell]
O4 0.226 0.000 0.561 [16 per cell]

Summary:
The value obtained for the total magnetization is 0.0 Bohr magnetons per cell. The final energy comes out at -678.2 eV for the cell shown.